A relaxed structure of Li2ZrPb, computed with PBEsol.

Computed properties:
**ΔE_f**: 0.089 eV per atom
**Fermi-level density of states**: 0.833 states/eV per atom

a b c (Å): 3.134 3.134 10.450
angles (deg): 81.38 81.38 60.00
Positions (direct):
Li: 0.754 0.754 0.739
Li: 0.246 0.246 0.261
Zr: 0.000 0.000 0.000
Pb: 0.500 0.500 0.500



A relaxed structure of Na2BPb, computed with PBEsol.

Computed properties:
**ΔE_f**: 0.867 eV per atom
**Fermi-level density of states**: 0.482 states/eV per atom

a b c (Å): 4.904 4.904 4.904
angles (deg): 60.00 60.00 60.00
Positions (direct):
Na: 0.750 0.750 0.750
Na: 0.250 0.250 0.250
B: 0.000 0.000 0.000
Pb: 0.500 0.500 0.500



A relaxed structure of Li5Cr2O8, computed with PBEsol.

Computed properties:
**Energy relative to the elements, uncorrected**: -29.87 eV per formula unit
**Fermi-level density of states**: 0.442 states/eV per atom

a b c (Å): 5.101 5.272 7.595
angles (deg): 83.62 70.87 64.34
Positions (direct):
O: 0.131 0.451 0.648
O: 0.324 0.969 0.377
O: 0.255 0.150 0.952
O: 0.864 0.507 0.354
O: 0.718 0.039 0.629
O: 0.486 0.541 0.808
O: 0.788 0.814 0.048
O: 0.429 0.532 0.190
Li: 0.046 0.724 0.450
Li: 0.744 0.729 0.814
Li: 0.974 0.247 0.548
Li: 0.178 0.813 0.007
Li: 0.294 0.254 0.180
Cr: 0.611 0.695 0.243
Cr: 0.394 0.296 0.759



A relaxed structure of LiFeRu2Cl, computed with PBEsol.

Computed properties:
**Energy relative to the elements, uncorrected**: 4.41 eV per formula unit
**Fermi-level density of states**: 1.052 states/eV per atom

a b c (Å): 3.981 4.322 4.322
angles (deg): 90.00 90.00 90.00
Positions (direct):
Ru: 0.000 0.500 0.000
Ru: 0.000 0.000 0.500
Li: 0.500 0.000 0.000
Cl: 0.000 0.000 0.000
Fe: 0.500 0.500 0.500



A relaxed structure of ZrRu2Br, computed with PBEsol.

Computed properties:
**Energy relative to the elements, uncorrected**: 1.29 eV per formula unit
**Fermi-level density of states**: 0.900 states/eV per atom
**Polymorph energy (0 for the lowest one)**: 72 meV/atom

a b c (Å): 3.117 3.117 8.369
angles (deg): 79.27 79.27 60.00
Positions (direct):
Br: 0.000 0.000 0.000
Ru: 0.248 0.248 0.256
Ru: 0.752 0.752 0.744
Zr: 0.500 0.500 0.500



A relaxed structure of LiSc2ZnGe, computed with PBEsol.

Computed properties:
**ΔE_f**: 0.121 eV per atom
**Fermi-level density of states**: 1.009 states/eV per atom

a b c (Å): 4.626 5.102 5.102
angles (deg): 90.00 90.00 90.00
Positions (direct):
Zn: 0.500 0.000 0.000
Li: 0.500 0.500 0.500
Sc: 0.000 0.500 0.000
Sc: 0.000 0.000 0.500
Ge: 0.000 0.000 0.000



A relaxed structure of Rb8Ga5H15, computed with PBEsol.

Computed properties:
**Total DFT energy (no corrections)**: -159.57 eV/cell
**Fermi-level density of states**: 0.000 states/eV per atom

a b c (Å): 11.524 11.524 11.524
angles (deg): 60.00 60.00 60.00
Positions (direct):
Rb: 0.125 0.625 0.625
Rb: 0.827 0.173 0.827
Rb: 0.077 0.423 0.077
Rb: 0.423 0.077 0.077
Rb: 0.827 0.827 0.173
Rb: 0.625 0.625 0.125
Rb: 0.423 0.077 0.423
Rb: 0.423 0.423 0.077
Rb: 0.173 0.827 0.173
Rb: 0.173 0.827 0.827
Rb: 0.077 0.423 0.423
Rb: 0.173 0.173 0.827
Rb: 0.077 0.077 0.423
Rb: 0.827 0.173 0.173
Rb: 0.625 0.125 0.625
Rb: 0.625 0.625 0.625
H: 0.530 0.345 0.838
H: 0.412 0.962 0.720
H: 0.000 0.000 0.000
H: 0.125 0.125 0.625
H: 0.838 0.288 0.530
H: 0.412 0.905 0.962
H: 0.530 0.288 0.345
H: 0.345 0.288 0.838
H: 0.905 0.962 0.412
H: 0.625 0.125 0.125
H: 0.288 0.530 0.838
H: 0.720 0.412 0.962
H: 0.288 0.838 0.345
H: 0.962 0.720 0.412
H: 0.412 0.720 0.905
H: 0.720 0.962 0.905
H: 0.838 0.345 0.288
H: 0.905 0.412 0.720
H: 0.962 0.905 0.720
H: 0.345 0.838 0.530
H: 0.288 0.345 0.530
H: 0.720 0.905 0.412
H: 0.905 0.720 0.962
H: 0.838 0.530 0.345
H: 0.250 0.250 0.250
H: 0.125 0.625 0.125
H: 0.962 0.412 0.905
H: 0.125 0.125 0.125
H: 0.530 0.838 0.288
H: 0.345 0.530 0.288
Ga: 0.750 0.750 0.750
Ga: 0.414 0.414 0.414
Ga: 0.836 0.491 0.836
Ga: 0.500 0.500 0.500
Ga: 0.759 0.414 0.414
Ga: 0.836 0.836 0.491
Ga: 0.414 0.759 0.414
Ga: 0.491 0.836 0.836
Ga: 0.414 0.414 0.759
Ga: 0.836 0.836 0.836



A relaxed structure of CsSr2Os, computed with PBEsol.

Computed properties:
**ΔE_f**: 0.920 eV per atom
**Fermi-level density of states**: 0.644 states/eV per atom

a b c (Å): 5.498 5.498 5.498
angles (deg): 60.00 60.00 60.00
Positions (direct):
Sr: 0.750 0.750 0.750
Sr: 0.250 0.250 0.250
Os: 0.500 0.500 0.500
Cs: 0.000 0.000 0.000